#A
Below is a relaxed K2Hf2S crystal, with properties calculated at the PBE level.

Cell: 3.6617 3.6617 9.8165 Å, 79.25 79.25 90.00°
Each line ends with the local moment (μB).
Fractional coordinates of all 5 atoms:
K 0.7500 0.2500 0.5000  0.00
K 0.2500 0.7500 0.5000  0.00
Hf 0.4245 0.4245 0.1510  0.32
Hf 0.5755 0.5755 0.8490  0.32
S 0.0000 0.0000 0.0000  0.00

Properties
* density of states at the Fermi level: 4.53 states/eV/cell
* space group: No. 139

#B
Below is a relaxed K2Hf2S crystal, with properties calculated at the PBE level.

Cell: 6.6237 6.6237 6.9021 Å, 90.00 90.00 90.00°
Fractional coordinates of all 10 atoms:
K 0.1879 0.6879 0.5000
K 0.6879 0.8121 0.5000
K 0.8121 0.3121 0.5000
K 0.3121 0.1879 0.5000
Hf 0.3405 0.8405 0.0000
Hf 0.8405 0.6595 0.0000
Hf 0.6595 0.1595 0.0000
Hf 0.1595 0.3405 0.0000
S 0.0000 0.0000 0.0000
S 0.5000 0.5000 0.0000

Properties
* density of states at the Fermi level: 8.32 states/eV/cell
* space group: No. 127

Relative energy table, unit eV/atom: #A 0.895; #B 0.000

#A
Below is a relaxed K3HfS crystal, with properties calculated at the PBE level.

Cell: 6.0989 6.0989 6.0989 Å, 90.00 90.00 90.00°
Each line ends with the local moment (μB).
Fractional coordinates of all 5 atoms:
K 0.0000 0.5000 0.0000  0.01
K 0.0000 0.0000 0.5000  0.02
K 0.5000 0.0000 0.0000  0.01
Hf 0.5000 0.5000 0.5000  1.48
S 0.0000 0.0000 0.0000  0.01

Properties
* density of states at the Fermi level: 14.00 states/eV/cell
* space group: No. 221

#B
Below is a relaxed K3HfS crystal, with properties calculated at the PBE level.

Cell: 6.4236 6.4236 6.4236 Å, 90.00 90.00 90.00°
Each line ends with the local moment (μB).
Fractional coordinates of all 5 atoms:
K 0.0000 0.5000 0.0000  0.04
K 0.0000 0.0000 0.5000  0.05
K 0.5000 0.0000 0.0000  0.03
Hf 0.0000 0.0000 0.0000  1.68
S 0.5000 0.5000 0.5000  -0.20

Properties
* density of states at the Fermi level: 7.98 states/eV/cell
* space group: No. 221

Relative energy table, unit eV/atom: #A 0.000; #B 0.713

#A
Below is a relaxed K3HfSb crystal, with properties calculated at the PBE level.

Cell: 6.4732 6.4732 6.4732 Å, 90.00 90.00 90.00°
Each line ends with the local moment (μB).
Fractional coordinates of all 5 atoms:
Sb 0.5000 0.5000 0.5000  -0.43
K 0.0000 0.5000 0.0000  0.04
K 0.0000 0.0000 0.5000  0.04
K 0.5000 0.0000 0.0000  0.03
Hf 0.0000 0.0000 0.0000  1.59

Properties
* density of states at the Fermi level: 3.08 states/eV/cell
* space group: No. 221

#B
Below is a relaxed K3HfSb crystal, with properties calculated at the PBE level.

Cell: 6.6631 6.6631 6.6631 Å, 90.00 90.00 90.00°
Each line ends with the local moment (μB).
Fractional coordinates of all 5 atoms:
Sb 0.0000 0.0000 0.0000  -0.07
K 0.0000 0.5000 0.0000  0.00
K 0.0000 0.0000 0.5000  0.00
K 0.5000 0.0000 0.0000  0.00
Hf 0.5000 0.5000 0.5000  1.32

Properties
* density of states at the Fermi level: 0.01 states/eV/cell
* space group: No. 221

Relative energy table, unit eV/atom: #A 0.355; #B 0.000